1.
# LiTlPHO3 PBEsol relaxed
data_LiTlPHO3
_chemical_formula_sum 'Li4 Tl4 P4 H4 O12'
_cell_length_a 14.1545
_cell_length_b 5.0448
_cell_length_c 5.3527
_cell_angle_alpha 90.00
_cell_angle_beta 90.56
_cell_angle_gamma 90.00
_space_group_name_H-M_alt 'C 1 2 1'
_space_group_IT_number 5
loop_
_space_group_symop_operation_xyz
'x,y,z'
'-x,y,-z'
'x+1/2,y+1/2,z'
'-x+1/2,y+1/2,-z'
loop_
_atom_site_label
_atom_site_fract_x
_atom_site_fract_y
_atom_site_fract_z
Li1 0.2476 0.0000 0.3162
Tl1 0.0905 0.9678 0.7490
P1 0.1418 0.5075 0.1858
H1 0.0553 0.3938 0.2697
O1 0.1338 0.8081 0.2285
O2 0.1491 0.4394 0.9071
O3 0.2202 0.3790 0.3467
# E in eV/cell: -163.7
# DOS at the Fermi energy in states/eV/f.u.: 0.0



2.
# LiVP2H2O8 PBEsol relaxed
data_LiVP2H2O8
_chemical_formula_sum 'Li2 V2 P4 H4 O16'
_cell_length_a 6.7566
_cell_length_b 7.7245
_cell_length_c 5.3259
_cell_angle_alpha 90.00
_cell_angle_beta 90.00
_cell_angle_gamma 90.00
_space_group_name_H-M_alt 'P 21 21 2'
_space_group_IT_number 18
loop_
_space_group_symop_operation_xyz
'x,y,z'
'-x,-y,z'
'x+1/2,-y+1/2,-z'
'-x+1/2,y+1/2,-z'
loop_
_atom_site_label
_atom_site_fract_x
_atom_site_fract_y
_atom_site_fract_z
Li1 0.0000 0.0000 0.0856
V1 0.0000 0.5000 0.7559
P1 0.2193 0.6512 0.2621
H1 0.0101 0.2096 0.4507
O1 0.0447 0.7874 0.2699
O2 0.0766 0.2427 0.7293
O3 0.2010 0.5387 0.4968
O4 0.2070 0.5472 0.0171
# DOS at the Fermi energy in states/eV/f.u.: 6.1
# Polymorph energy (0 for the lowest one) in eV per atom: 0.000



3.
# Li2V3P4H4O16 PBEsol relaxed
data_Li2V3P4H4O16
_chemical_formula_sum 'Li4 V6 P8 H8 O32'
_cell_length_a 9.0066
_cell_length_b 8.1176
_cell_length_c 8.8371
_cell_angle_alpha 90.00
_cell_angle_beta 97.08
_cell_angle_gamma 90.00
_space_group_name_H-M_alt 'P 1 21/c 1'
_space_group_IT_number 14
loop_
_space_group_symop_operation_xyz
'x,y,z'
'-x,-y,-z'
'-x,y+1/2,-z+1/2'
'x,-y+1/2,z+1/2'
loop_
_atom_site_label
_atom_site_fract_x
_atom_site_fract_y
_atom_site_fract_z
Li1 0.0876 0.1256 0.0810
V1 0.3592 0.1374 0.5006
V2 0.5000 0.0000 0.0000
P1 0.1867 0.0608 0.7809
P2 0.3899 0.7017 0.2102
H1 0.1238 0.5220 0.8203
H2 0.2777 0.5295 0.7465
O1 0.0441 0.0491 0.8554
O2 0.1699 0.1513 0.6275
O3 0.2180 0.0381 0.3168
O4 0.2311 0.6297 0.2477
O5 0.3156 0.1288 0.8951
O6 0.3569 0.6297 0.6377
O7 0.4488 0.5773 0.1026
O8 0.4932 0.7099 0.3610
# E in eV/cell: -416.7



4.
# LiVP2HO7 PBEsol relaxed
data_LiVP2HO7
_chemical_formula_sum 'Li2 V2 P4 H2 O14'
_cell_length_a 6.3873
_cell_length_b 6.4511
_cell_length_c 6.5407
_cell_angle_alpha 68.74
_cell_angle_beta 88.80
_cell_angle_gamma 82.72
_space_group_name_H-M_alt 'P -1'
_space_group_IT_number 2
loop_
_space_group_symop_operation_xyz
'x,y,z'
'-x,-y,-z'
loop_
_atom_site_label
_atom_site_fract_x
_atom_site_fract_y
_atom_site_fract_z
Li1 0.1113 0.2506 0.1514
V1 0.3473 0.4034 0.7159
P1 0.1548 0.7265 0.2384
P2 0.3929 0.8626 0.8211
H1 0.1740 0.8414 0.5151
O1 0.0275 0.3761 0.8181
O2 0.0891 0.8966 0.3553
O3 0.2349 0.8875 0.0126
O4 0.2720 0.7332 0.7132
O5 0.3344 0.5498 0.3653
O6 0.4031 0.2740 0.0617
O7 0.4057 0.1003 0.6728
# E in eV/cell: -174.8



5.
# LiVP2HO8 PBEsol relaxed
data_LiVP2HO8
_chemical_formula_sum 'Li2 V2 P4 H2 O16'
_cell_length_a 4.8141
_cell_length_b 7.8345
_cell_length_c 7.6822
_cell_angle_alpha 90.00
_cell_angle_beta 112.30
_cell_angle_gamma 90.00
_space_group_name_H-M_alt 'P 1 c 1'
_space_group_IT_number 7
loop_
_space_group_symop_operation_xyz
'x,y,z'
'x,-y,z+1/2'
loop_
_atom_site_label
_atom_site_fract_x
_atom_site_fract_y
_atom_site_fract_z
Li1 0.0000 0.1229 0.0000
V1 0.0518 0.2570 0.6412
P1 0.4135 0.0947 0.3816
P2 0.6778 0.4064 0.9065
H1 0.5606 0.2545 0.1384
O1 0.2537 0.0804 0.8349
O2 0.2653 0.1926 0.5009
O3 0.3470 0.4234 0.7751
O4 0.3632 0.1891 0.1996
O5 0.7304 0.2983 0.0839
O6 0.7503 0.0741 0.5070
O7 0.8151 0.4158 0.4631
O8 0.8478 0.3052 0.8033
# E in eV/cell: -192.6
# DOS at the Fermi energy in states/eV/f.u.: 4.6



6.
# Li3VP2HO8 PBEsol relaxed
data_Li3VP2HO8
_chemical_formula_sum 'Li3 V1 P2 H1 O8'
_cell_length_a 4.9844
_cell_length_b 5.0369
_cell_length_c 6.1365
_cell_angle_alpha 90.06
_cell_angle_beta 90.23
_cell_angle_gamma 113.66
_space_group_name_H-M_alt 'P -1'
_space_group_IT_number 2
loop_
_space_group_symop_operation_xyz
'x,y,z'
'-x,-y,-z'
loop_
_atom_site_label
_atom_site_fract_x
_atom_site_fract_y
_atom_site_fract_z
Li1 0.0000 0.0000 0.0000
Li2 0.3839 0.7776 0.7399
V1 0.0000 0.0000 0.5000
P1 0.3601 0.6387 0.2548
H1 0.0000 0.5000 0.0000
O1 0.2251 0.7044 0.0384
O2 0.2423 0.7520 0.4471
O3 0.2675 0.3062 0.2661
O4 0.3041 0.1949 0.7595
# E in eV/cell: -104.4



7.
# LiVP2HO8 PBEsol relaxed
data_LiVP2HO8
_chemical_formula_sum 'Li2 V2 P4 H2 O16'
_cell_length_a 4.8220
_cell_length_b 7.8365
_cell_length_c 7.3393
_cell_angle_alpha 90.00
_cell_angle_beta 104.79
_cell_angle_gamma 90.00
_space_group_name_H-M_alt 'P 1 21 1'
_space_group_IT_number 4
loop_
_space_group_symop_operation_xyz
'x,y,z'
'-x,y+1/2,-z'
loop_
_atom_site_label
_atom_site_fract_x
_atom_site_fract_y
_atom_site_fract_z
Li1 0.1481 0.0000 0.1017
V1 0.2595 0.6234 0.2634
P1 0.1160 0.9705 0.4844
P2 0.3770 0.2829 0.0105
H1 0.2796 0.6321 0.7583
O1 0.0171 0.5649 0.6973
O2 0.0812 0.4547 0.3813
O3 0.1112 0.1799 0.9028
O4 0.2084 0.7917 0.4356
O5 0.2756 0.4578 0.0630
O6 0.3897 0.0671 0.5978
O7 0.4094 0.8037 0.1129
O8 0.4998 0.1767 0.1900
# E in eV/cell: -192.6
# DOS at the Fermi energy in states/eV/f.u.: 4.6



8.
# Li3VP2H2O9 PBEsol relaxed
data_Li3VP2H2O9
_chemical_formula_sum 'Li12 V4 P8 H8 O36'
_cell_length_a 14.3270
_cell_length_b 7.0664
_cell_length_c 6.6169
_cell_angle_alpha 90.00
_cell_angle_beta 94.42
_cell_angle_gamma 90.00
_space_group_name_H-M_alt 'C 1 2/m 1'
_space_group_IT_number 12
loop_
_space_group_symop_operation_xyz
'x,y,z'
'-x,-y,-z'
'-x,y,-z'
'x,-y,z'
'x+1/2,y+1/2,z'
'-x+1/2,-y+1/2,-z'
'-x+1/2,y+1/2,-z'
'x+1/2,-y+1/2,z'
loop_
_atom_site_label
_atom_site_fract_x
_atom_site_fract_y
_atom_site_fract_z
Li1 0.0000 0.2379 0.0000
Li2 0.1233 0.5000 0.7050
Li3 0.2500 0.2500 0.5000
V1 0.2500 0.2500 0.0000
P1 0.1058 0.5000 0.2354
P2 0.1226 0.0000 0.6808
H1 0.0455 0.0000 0.3461
H2 0.1895 0.0000 0.2278
O1 0.0003 0.5000 0.2436
O2 0.0281 0.0000 0.7783
O3 0.1132 0.0000 0.4437
O4 0.1304 0.3198 0.1104
O5 0.1653 0.5000 0.4398
O6 0.1778 0.1819 0.7390
O7 0.2361 0.0000 0.1243
# E in eV/cell: -467.1
# DOS at the Fermi energy in states/eV/f.u.: 5.1



9.
# LiVP4H4O14 PBEsol relaxed
data_LiVP4H4O14
_chemical_formula_sum 'Li2 V2 P8 H8 O28'
_cell_length_a 5.0653
_cell_length_b 9.6574
_cell_length_c 10.0365
_cell_angle_alpha 85.37
_cell_angle_beta 81.30
_cell_angle_gamma 83.06
_space_group_name_H-M_alt 'P -1'
_space_group_IT_number 2
loop_
_space_group_symop_operation_xyz
'x,y,z'
'-x,-y,-z'
loop_
_atom_site_label
_atom_site_fract_x
_atom_site_fract_y
_atom_site_fract_z
Li1 0.2115 0.2206 0.2849
V1 0.0000 0.0000 0.5000
V2 0.5000 0.5000 0.0000
P1 0.0709 0.4555 0.7779
P2 0.1737 0.8154 0.9233
P3 0.3255 0.6810 0.5761
P4 0.4290 0.0429 0.7249
H1 0.1073 0.2042 0.6724
H2 0.2085 0.6324 0.3833
H3 0.2826 0.8659 0.1169
H4 0.3962 0.2965 0.8291
O1 0.0205 0.3375 0.6963
O2 0.0811 0.1850 0.1310
O3 0.1222 0.8773 0.0642
O4 0.1317 0.8167 0.5731
O5 0.1328 0.5845 0.6777
O6 0.1633 0.4912 0.1222
O7 0.1772 0.0942 0.6504
O8 0.3258 0.4048 0.8507
O9 0.3359 0.0151 0.3743
O10 0.3602 0.6785 0.9285
O11 0.3687 0.9145 0.8254
O12 0.3702 0.6189 0.4357
O13 0.4174 0.3153 0.3732
O14 0.4866 0.1616 0.8025
# E in eV/cell: -334.5
# DOS at the Fermi energy in states/eV/f.u.: 5.2



10.
# Li2VPHO5 PBEsol relaxed
data_Li2VPHO5
_chemical_formula_sum 'Li4 V2 P2 H2 O10'
_cell_length_a 5.2792
_cell_length_b 5.4802
_cell_length_c 7.4556
_cell_angle_alpha 110.45
_cell_angle_beta 107.89
_cell_angle_gamma 94.69
_space_group_name_H-M_alt 'P -1'
_space_group_IT_number 2
loop_
_space_group_symop_operation_xyz
'x,y,z'
'-x,-y,-z'
loop_
_atom_site_label
_atom_site_fract_x
_atom_site_fract_y
_atom_site_fract_z
Li1 0.0721 0.1928 0.3046
Li2 0.3271 0.1975 0.8394
V1 0.0000 0.5000 0.0000
V2 0.5000 0.0000 0.5000
P1 0.4302 0.6321 0.7577
H1 0.0379 0.7708 0.3702
O1 0.0966 0.8334 0.2774
O2 0.2562 0.2930 0.1466
O3 0.3165 0.8290 0.6616
O4 0.3189 0.6573 0.9314
O5 0.3263 0.3393 0.5963
# E in eV/cell: -137.5



11.
# LiV2P2HO9 PBEsol relaxed
data_LiV2P2HO9
_chemical_formula_sum 'Li2 V4 P4 H2 O18'
_cell_length_a 6.2633
_cell_length_b 6.6912
_cell_length_c 8.6239
_cell_angle_alpha 90.00
_cell_angle_beta 108.59
_cell_angle_gamma 90.00
_space_group_name_H-M_alt 'P 1 21/m 1'
_space_group_IT_number 11
loop_
_space_group_symop_operation_xyz
'x,y,z'
'-x,-y,-z'
'-x,y+1/2,-z'
'x,-y+1/2,z'
loop_
_atom_site_label
_atom_site_fract_x
_atom_site_fract_y
_atom_site_fract_z
Li1 0.0966 0.2500 0.3668
V1 0.4869 0.2500 0.7856
V2 0.5000 0.0000 0.5000
P1 0.0821 0.7500 0.2997
P2 0.4266 0.2500 0.1609
H1 0.0391 0.2500 0.0097
O1 0.1627 0.2500 0.1232
O2 0.1702 0.5598 0.4039
O3 0.1714 0.2500 0.7626
O4 0.1717 0.7500 0.1500
O5 0.4090 0.2500 0.5478
O6 0.4819 0.7500 0.9802
O7 0.4860 0.5616 0.7309
# E in eV/cell: -230.4
# DOS at the Fermi energy in states/eV/f.u.: 6.9



Number 1: ρ 5.06 g cm⁻³, magnetic moment 0.0000 μB/atom. Number 2: ρ 2.99 g cm⁻³, magnetic moment 0.1429 μB/atom. Number 3: ρ 2.85 g cm⁻³, magnetic moment 0.3103 μB/atom. Number 4: ρ 3.10 g cm⁻³, magnetic moment 0.2500 μB/atom. Number 5: ρ 3.08 g cm⁻³, magnetic moment 0.0769 μB/atom. Number 6: ρ 3.09 g cm⁻³, magnetic moment 0.2000 μB/atom. Number 7: ρ 3.08 g cm⁻³, magnetic moment 0.0769 μB/atom. Number 8: ρ 2.78 g cm⁻³, magnetic moment 0.1176 μB/atom. Number 9: ρ 2.83 g cm⁻³, magnetic moment 0.0833 μB/atom. Number 10: ρ 3.12 g cm⁻³, magnetic moment 0.3000 μB/atom. Number 11: ρ 3.06 g cm⁻³, magnetic moment 0.2667 μB/atom.